Density functional theory data (PBE-GGA) for crystalline KSc2GaPt at its relaxed geometry.

The space group is P4/mmm (No. 123) and the conventional cell measures 5.243, 5.243 and 4.929 Å, with angles of 90.00, 90.00 and 90.00 degrees. The distinct sites, in fractional coordinates, are K at (0.000, 0.000, 0.000), Sc at (0.000, 0.500, 0.500), Ga at (0.500, 0.500, 0.000) and Pt at (0.500, 0.500, 0.500).

For the density, the calculation gives 4.8 g/cm3. The value obtained for the density of states at the Fermi level is 0.85 states/eV per atom. The formation energy is -0.177 eV per atom.

=====

Density functional theory data (PBE-GGA) for crystalline Rb3TmNp3S8 at its relaxed geometry.

The space group is R-3m (No. 166, hexagonal axes) and the conventional cell measures 8.1037, 8.1037 and 23.3475 Å, with angles of 90.00, 90.00 and 120.00 degrees. The distinct sites, in fractional coordinates, are Rb at (0.0000, 0.5000, 0.0000), Tm at (0.0000, 0.0000, 0.5000), Np at (0.0000, 0.5000, 0.5000), S at (0.0000, 0.0000, 0.2292) and S at (0.0025, 0.5013, 0.2283).

For the density, the calculation gives 5.2 g/cm3. The value obtained for the density of states at the Fermi level is 1.84 states/eV per atom. For the calculated total energy, the calculation gives -6.789 eV/atom.

=====

Density functional theory data (PBE-GGA) for crystalline MgBeB at its relaxed geometry.

The space group is P-1 (No. 2) and the conventional cell measures 3.650, 4.648 and 4.653 Å, with angles of 107.71, 99.77 and 93.30 degrees. The distinct sites, in fractional coordinates, are Mg at (0.081, 0.315, 0.203), Be at (0.435, 0.154, 0.705) and B at (0.079, 0.859, 0.363).

For the density, the calculation gives 2.0 g/cm3. The value obtained for the density of states at the Fermi level is 0.12 states/eV per atom. The formation energy is 0.089 eV per atom. The excess energy over the best structure of this formula in the dataset comes out at 0.085 eV/atom.